# NaHfAg

NaHfAg after structural relaxation (PBE, OQMD via LeMat-Bulk).

The structure in POSCAR format:
```
NaHfAg
1.0
0.000 3.249 3.249
3.249 0.000 3.249
3.249 3.249 0.000
Hf Ag Na
1 1 1
Direct
0.750 0.750 0.750
0.250 0.250 0.250
0.000 0.000 0.000
```

Calculated values
Electronic total energy = -0.128 hartree per atom